# 1
Tc2AgOsPd: relaxed, PBE.

```
data_Tc2AgOsPd
_space_group_name_H-M_alt 'P 4/m m m'
_space_group_IT_number 123
_space_group_name_Hall '-P 4 2'
_cell_length_a 4.649
_cell_length_b 4.649
_cell_length_c 4.751
_cell_angle_alpha 90.00
_cell_angle_beta 90.00
_cell_angle_gamma 90.00
loop_
_atom_site_label
_atom_site_fract_x
_atom_site_fract_y
_atom_site_fract_z
Tc1 0.000 0.500 0.000
Ag1 0.000 0.000 0.500
Os1 0.500 0.500 0.500
Pd1 0.000 0.000 0.000
```

## Properties
* mass density: 9.71 g cm⁻³
* size of the total moment: 3.758 μB per formula unit
* calculated formation energy: 2404 meV per atom
* uncorrected energy: -5.5970 eV/atom

# 2
CaBi3P: relaxed, PBE.

```
data_CaBi3P
_space_group_name_H-M_alt 'P m -3 m'
_space_group_IT_number 221
_space_group_name_Hall '-P 4 2 3'
_cell_length_a 5.490
_cell_length_b 5.490
_cell_length_c 5.490
_cell_angle_alpha 90.00
_cell_angle_beta 90.00
_cell_angle_gamma 90.00
loop_
_atom_site_label
_atom_site_fract_x
_atom_site_fract_y
_atom_site_fract_z
Ca1 0.000 0.000 0.000
Bi1 0.000 0.500 0.500
P1 0.500 0.500 0.500
```

## Properties
* mass density: 7.01 g cm⁻³
* size of the total moment: 0.000 μB per formula unit
* energy relative to the lowest polymorph listed for this composition: 0.000 eV/atom
* calculated formation energy: 108 meV per atom
* uncorrected energy: -3.7027 eV/atom

# 3
Mg6CuB: relaxed, PBE.

```
data_Mg6CuB
_space_group_name_H-M_alt 'A m m 2'
_space_group_IT_number 38
_space_group_name_Hall 'A 2 -2'
_cell_length_a 3.922
_cell_length_b 7.952
_cell_length_c 9.478
_cell_angle_alpha 90.00
_cell_angle_beta 90.00
_cell_angle_gamma 90.00
loop_
_atom_site_label
_atom_site_fract_x
_atom_site_fract_y
_atom_site_fract_z
Mg1 0.000 0.000 0.000
Mg2 0.000 0.179 0.739
Mg3 0.500 0.000 0.234
Mg4 0.500 0.219 0.484
Cu1 0.000 0.000 0.431
B1 0.500 0.000 0.849
```

## Properties
* mass density: 2.47 g cm⁻³
* size of the total moment: 0.000 μB per formula unit
* energy relative to the lowest polymorph listed for this composition: 0.000 eV/atom
* calculated formation energy: 182 meV per atom
* uncorrected energy: -2.3606 eV/atom

# 4
Dy5Ag4Ru: relaxed, PBE.

```
data_Dy5Ag4Ru
_space_group_name_H-M_alt 'P 4/m m m'
_space_group_IT_number 123
_space_group_name_Hall '-P 4 2'
_cell_length_a 3.536
_cell_length_b 3.536
_cell_length_c 18.446
_cell_angle_alpha 90.00
_cell_angle_beta 90.00
_cell_angle_gamma 90.00
loop_
_atom_site_label
_atom_site_fract_x
_atom_site_fract_y
_atom_site_fract_z
Dy1 0.000 0.000 0.000
Dy2 0.000 0.000 0.204
Dy3 0.000 0.000 0.411
Ag1 0.500 0.500 0.102
Ag2 0.500 0.500 0.305
Ru1 0.500 0.500 0.500
```

## Properties
* mass density: 9.69 g cm⁻³
* size of the total moment: 0.000 μB per formula unit
* calculated formation energy: -345 meV per atom
* uncorrected energy: -4.7143 eV/atom

# 5
BaCdCu: relaxed, PBE.

```
data_BaCdCu
_space_group_name_H-M_alt 'C m c e'
_space_group_IT_number 64
_space_group_name_Hall '-C 2ac 2'
_cell_length_a 6.270
_cell_length_b 13.332
_cell_length_c 8.373
_cell_angle_alpha 90.00
_cell_angle_beta 90.00
_cell_angle_gamma 90.00
loop_
_atom_site_label
_atom_site_fract_x
_atom_site_fract_y
_atom_site_fract_z
Ba1 0.000 0.176 0.095
Cd1 0.250 0.055 0.750
Cu1 0.000 0.087 0.465
```

## Properties
* mass density: 5.95 g cm⁻³
* size of the total moment: 0.000 μB per formula unit
* calculated formation energy: -85 meV per atom
* uncorrected energy: -2.3961 eV/atom

# 6
SbAsBr2: relaxed, PBE.

```
data_SbAsBr2
_space_group_name_H-M_alt 'P 1 2/m 1'
_space_group_IT_number 10
_space_group_name_Hall '-P 2y'
_cell_length_a 4.870
_cell_length_b 4.623
_cell_length_c 4.881
_cell_angle_alpha 90.00
_cell_angle_beta 94.30
_cell_angle_gamma 90.00
loop_
_atom_site_label
_atom_site_fract_x
_atom_site_fract_y
_atom_site_fract_z
Sb1 0.000 0.000 0.000
As1 0.500 0.000 0.500
Br1 0.257 0.500 0.743
```

## Properties
* mass density: 5.40 g cm⁻³
* size of the total moment: 0.000 μB per formula unit
* energy relative to the lowest polymorph listed for this composition: 0.440 eV/atom
* uncorrected energy: -2.8588 eV/atom